DFT (PBE-GGA) results for crystalline TiMn at its relaxed geometry.

Calculated values
* final energy: -7.483 eV/atom
* energy of formation: 1.049 eV/atom

a = 4.2800 Å, b = 4.2800 Å, c = 4.8173 Å
α = 90.00°, β = 90.00°, γ = 120.00°
Last column: nearest neighbours and their distance in Å.
Element x y z (fractional)
1 Ti 0.3333 0.6667 0.2500  5 Mn 2.41-2.47
2 Ti 0.6667 0.3333 0.7500  5 Mn 2.41-2.47
3 Mn 0.3333 0.6667 0.7500  5 Ti 2.41-2.47
4 Mn 0.6667 0.3333 0.2500  5 Ti 2.41-2.47